# Tb2DyYEr | Alexandria | PBE-GGA | relaxed
# - Total moment: 0.0 μB/f.u.
# - Electronic total energy: -4.56 eV/atom
# - Density of states at the Fermi level: 31.5 states/eV per cell
# - Formation enthalpy at 0 K: 0.414 eV/atom
# - ρ: 7.132 g cm⁻³
data_Tb2DyYEr
_cell_length_a 8.3381
_cell_length_b 11.4333
_cell_length_c 7.1954
_cell_angle_alpha 90.00
_cell_angle_beta 90.00
_cell_angle_gamma 90.00
_symmetry_space_group_name_H-M 'C m c m'
_symmetry_Int_Tables_number 63
_symmetry_space_group_name_Hall '-C 2c 2'
loop_
_atom_site_label
_atom_site_type_symbol
_atom_site_fract_x
_atom_site_fract_y
_atom_site_fract_z
Tb1 Tb 0.1914 0.0000 0.0000
Dy1 Dy 0.0000 0.4833 0.2500
Y1 Y 0.0000 0.2339 0.7500
Er1 Er 0.0000 0.2140 0.2500

# CsU2MnS4 | Alexandria | PBE-GGA | relaxed
# - Total moment: 7.9 μB/f.u.
# - Electronic total energy: -7.27 eV/atom
# - Density of states at the Fermi level: 55.4 states/eV per cell
# - Uncorrected formation energy: -1.13 eV per atom
# - ρ: 6.925 g cm⁻³
data_CsU2MnS4
_cell_length_a 3.9167
_cell_length_b 14.1716
_cell_length_c 13.6884
_cell_angle_alpha 90.00
_cell_angle_beta 90.00
_cell_angle_gamma 90.00
_symmetry_space_group_name_H-M 'C m c m'
_symmetry_Int_Tables_number 63
_symmetry_space_group_name_Hall '-C 2c 2'
loop_
_atom_site_label
_atom_site_type_symbol
_atom_site_fract_x
_atom_site_fract_y
_atom_site_fract_z
Cs1 Cs 0.0000 0.0969 0.2500
U1 U 0.0000 0.3669 0.0575
Mn1 Mn 0.0000 0.1768 0.7500
S1 S 0.0000 0.0000 0.0000
S2 S 0.0000 0.2594 0.6073
S3 S 0.0000 0.4112 0.2500

# ZnGePdPt | Alexandria | PBE-GGA | relaxed
# - Total moment: 0.0 μB/f.u.
# - Electronic total energy: -4.68 eV/atom
# - Density of states at the Fermi level: 10.4 states/eV per cell
# - Formation enthalpy at 0 K: -0.397 eV/atom
# - ρ: 12.054 g cm⁻³
data_ZnGePdPt
_cell_length_a 6.2335
_cell_length_b 6.2335
_cell_length_c 6.2335
_cell_angle_alpha 90.00
_cell_angle_beta 90.00
_cell_angle_gamma 90.00
_symmetry_space_group_name_H-M 'F -4 3 m'
_symmetry_Int_Tables_number 216
_symmetry_space_group_name_Hall 'F -4 2 3'
loop_
_atom_site_label
_atom_site_type_symbol
_atom_site_fract_x
_atom_site_fract_y
_atom_site_fract_z
Zn1 Zn 0.0000 0.0000 0.0000
Ge1 Ge 0.0000 0.0000 0.5000
Pd1 Pd 0.2500 0.2500 0.2500
Pt1 Pt 0.2500 0.2500 0.7500

# YZn2I | Alexandria | PBE-GGA | relaxed
# - Total moment: 0.0 μB/f.u.
# - Electronic total energy: -2.47 eV/atom
# - Density of states at the Fermi level: 12.8 states/eV per cell
# - Uncorrected formation energy: 0.17 eV per atom
# - ρ: 5.661 g cm⁻³
data_YZn2I
_cell_length_a 7.4092
_cell_length_b 7.4092
_cell_length_c 7.4092
_cell_angle_alpha 90.00
_cell_angle_beta 90.00
_cell_angle_gamma 90.00
_symmetry_space_group_name_H-M 'F m -3 m'
_symmetry_Int_Tables_number 225
_symmetry_space_group_name_Hall '-F 4 2 3'
loop_
_atom_site_label
_atom_site_type_symbol
_atom_site_fract_x
_atom_site_fract_y
_atom_site_fract_z
Y1 Y 0.0000 0.0000 0.0000
Zn1 Zn 0.2500 0.2500 0.2500
I1 I 0.0000 0.0000 0.5000

# NdYGaRu | Alexandria | PBE-GGA | relaxed
# - Total moment: 0.0 μB/f.u.
# - Electronic total energy: -6.25 eV/atom
# - Density of states at the Fermi level: 9.6 states/eV per cell
# - Formation enthalpy at 0 K: -0.366 eV/atom
# - ρ: 7.460 g cm⁻³
data_NdYGaRu
_cell_length_a 7.1114
_cell_length_b 7.1114
_cell_length_c 7.1114
_cell_angle_alpha 90.00
_cell_angle_beta 90.00
_cell_angle_gamma 90.00
_symmetry_space_group_name_H-M 'F -4 3 m'
_symmetry_Int_Tables_number 216
_symmetry_space_group_name_Hall 'F -4 2 3'
loop_
_atom_site_label
_atom_site_type_symbol
_atom_site_fract_x
_atom_site_fract_y
_atom_site_fract_z
Nd1 Nd 0.0000 0.0000 0.0000
Y1 Y 0.0000 0.0000 0.5000
Ga1 Ga 0.2500 0.2500 0.7500
Ru1 Ru 0.2500 0.2500 0.2500

# NbCu2TeAs | Alexandria | PBE-GGA | relaxed
# - Total moment: 3.4 μB/f.u.
# - Electronic total energy: -4.45 eV/atom
# - Density of states at the Fermi level: 7.4 states/eV per cell
# - Uncorrected formation energy: 0.76 eV per atom
# - ρ: 5.965 g cm⁻³
data_NbCu2TeAs
_cell_length_a 4.3910
_cell_length_b 4.3910
_cell_length_c 6.1002
_cell_angle_alpha 90.00
_cell_angle_beta 90.00
_cell_angle_gamma 90.00
_symmetry_space_group_name_H-M 'P 4/m m m'
_symmetry_Int_Tables_number 123
_symmetry_space_group_name_Hall '-P 4 2'
loop_
_atom_site_label
_atom_site_type_symbol
_atom_site_fract_x
_atom_site_fract_y
_atom_site_fract_z
Nb1 Nb 0.0000 0.0000 0.0000
Cu1 Cu 0.0000 0.5000 0.5000
Te1 Te 0.5000 0.5000 0.0000
As1 As 0.5000 0.5000 0.5000

# CoOs2Pd | Alexandria | PBE-GGA | relaxed
# - Total moment: 0.0 μB/f.u.
# - Electronic total energy: -7.12 eV/atom
# - Density of states at the Fermi level: 10.1 states/eV per cell
# - Formation enthalpy at 0 K: 1.567 eV/atom
# - ρ: 11.609 g cm⁻³
data_CoOs2Pd
_cell_length_a 5.3726
_cell_length_b 5.3726
_cell_length_c 10.8189
_cell_angle_alpha 90.00
_cell_angle_beta 90.00
_cell_angle_gamma 90.00
_symmetry_space_group_name_H-M 'I -4 2 d'
_symmetry_Int_Tables_number 122
_symmetry_space_group_name_Hall 'I -4 2bw'
loop_
_atom_site_label
_atom_site_type_symbol
_atom_site_fract_x
_atom_site_fract_y
_atom_site_fract_z
Co1 Co 0.0000 0.0000 0.0000
Os1 Os 0.2172 0.2500 0.1250
Pd1 Pd 0.0000 0.0000 0.5000

# In2Hg5I3 | Alexandria | PBE-GGA | relaxed
# - Total moment: 0.0 μB/f.u.
# - Electronic total energy: -1.36 eV/atom
# - Density of states at the Fermi level: 7.3 states/eV per cell
# - Uncorrected formation energy: -0.20 eV per atom
# - ρ: 7.533 g cm⁻³
data_In2Hg5I3
_cell_length_a 18.2592
_cell_length_b 9.9752
_cell_length_c 8.3319
_cell_angle_alpha 90.00
_cell_angle_beta 110.38
_cell_angle_gamma 90.00
_symmetry_space_group_name_H-M 'C 1 2/c 1'
_symmetry_Int_Tables_number 15
_symmetry_space_group_name_Hall '-C 2yc'
loop_
_atom_site_label
_atom_site_type_symbol
_atom_site_fract_x
_atom_site_fract_y
_atom_site_fract_z
In1 In 0.1509 0.1008 0.2684
Hg1 Hg 0.0000 0.4699 0.2500
Hg2 Hg 0.0911 0.3375 0.0322
Hg3 Hg 0.2457 0.4091 0.9744
I1 I 0.0000 0.0478 0.7500
I2 I 0.1458 0.2733 0.5696